No. 1
A relaxed Ta2TcP crystal. Source: Alexandria via LeMat-Bulk, functional PBE.

CIF file:
```
data_Ta2TcP
_chemical_formula_sum 'Ta4 Tc2 P2'
_cell_length_a 3.362
_cell_length_b 4.788
_cell_length_c 7.953
_cell_angle_alpha 90.00
_cell_angle_beta 90.00
_cell_angle_gamma 90.00
_space_group_name_H-M_alt 'C m m 2'
_space_group_IT_number 35
loop_
_space_group_symop_operation_xyz
'x,y,z'
'-x,-y,z'
'-x,y,z'
'x,-y,z'
'x+1/2,y+1/2,z'
'-x+1/2,-y+1/2,z'
'-x+1/2,y+1/2,z'
'x+1/2,-y+1/2,z'
loop_
_atom_site_label
_atom_site_type_symbol
_atom_site_fract_x
_atom_site_fract_y
_atom_site_fract_z
Ta1 Ta 0.000 0.000 0.000
Ta2 Ta 0.000 0.500 0.289
Tc1 Tc 0.000 0.000 0.562
P1 P 0.000 0.500 0.771
```

Calculated values
As for the energy of formation: -165 meV/atom.


No. 2
A relaxed LaAs2WBr crystal. Source: Alexandria via LeMat-Bulk, functional PBE.

CIF file:
```
data_LaAs2WBr
_chemical_formula_sum 'La1 As2 W1 Br1'
_cell_length_a 5.728
_cell_length_b 5.728
_cell_length_c 5.558
_cell_angle_alpha 90.00
_cell_angle_beta 90.00
_cell_angle_gamma 90.00
_space_group_name_H-M_alt 'P 4/m m m'
_space_group_IT_number 123
_space_group_name_Hall '-P 4 2'
loop_
_atom_site_label
_atom_site_type_symbol
_atom_site_fract_x
_atom_site_fract_y
_atom_site_fract_z
La1 La 0.000 0.000 0.000
As1 As 0.000 0.500 0.000
W1 W 0.500 0.500 0.500
Br1 Br 0.000 0.000 0.500
```

Calculated values
The uncorrected formation energy comes out at 1.1839 eV per atom. For the energy above the most stable polymorph in this dataset, the calculation gives 1.375 eV/atom.


No. 3
A relaxed YTaTl crystal. Source: Alexandria via LeMat-Bulk, functional PBE.

CIF file:
```
data_YTaTl
_chemical_formula_sum 'Y4 Ta4 Tl4'
_cell_length_a 7.084
_cell_length_b 7.084
_cell_length_c 7.084
_cell_angle_alpha 90.00
_cell_angle_beta 90.00
_cell_angle_gamma 90.00
_space_group_name_H-M_alt 'F -4 3 m'
_space_group_IT_number 216
_space_group_name_Hall 'F -4 2 3'
loop_
_atom_site_label
_atom_site_type_symbol
_atom_site_fract_x
_atom_site_fract_y
_atom_site_fract_z
Y1 Y 0.000 0.000 0.000
Ta1 Ta 0.250 0.250 0.750
Tl1 Tl 0.250 0.250 0.250
```

Calculated values
For the energy above the most stable polymorph in this dataset, the calculation gives 0.943 eV/atom. As for the energy of formation: 1193 meV/atom.


No. 4
A relaxed Zr2IrCl crystal. Source: Alexandria via LeMat-Bulk, functional PBE.

CIF file:
```
data_Zr2IrCl
_chemical_formula_sum 'Zr4 Ir2 Cl2'
_cell_length_a 3.536
_cell_length_b 3.533
_cell_length_c 14.362
_cell_angle_alpha 90.00
_cell_angle_beta 90.00
_cell_angle_gamma 90.00
_space_group_name_H-M_alt 'A m m 2'
_space_group_IT_number 38
loop_
_space_group_symop_operation_xyz
'x,y,z'
'-x,-y,z'
'-x,y,z'
'x,-y,z'
'x,y+1/2,z+1/2'
'-x,-y+1/2,z+1/2'
'-x,y+1/2,z+1/2'
'x,-y+1/2,z+1/2'
loop_
_atom_site_label
_atom_site_type_symbol
_atom_site_fract_x
_atom_site_fract_y
_atom_site_fract_z
Zr1 Zr 0.000 0.000 0.000
Zr2 Zr 0.500 0.000 0.206
Ir1 Ir 0.000 0.000 0.637
Cl1 Cl 0.500 0.000 0.395
```

Calculated values
The uncorrected formation energy comes out at -0.6858 eV per atom. For the energy above the most stable polymorph in this dataset, the calculation gives 0.124 eV/atom.


No. 5
A relaxed SrInAsF crystal. Source: Alexandria via LeMat-Bulk, functional PBE.

CIF file:
```
data_SrInAsF
_chemical_formula_sum 'Sr2 In2 As2 F2'
_cell_length_a 4.791
_cell_length_b 4.791
_cell_length_c 8.199
_cell_angle_alpha 90.00
_cell_angle_beta 90.00
_cell_angle_gamma 90.00
_space_group_name_H-M_alt 'P 4/n m m'
_space_group_IT_number 129
loop_
_space_group_symop_operation_xyz
'x,y,z'
'-x,-y,-z'
'-y+1/2,x,z'
'y+1/2,-x,-z'
'-x+1/2,-y+1/2,z'
'x+1/2,y+1/2,-z'
'y,-x+1/2,z'
'-y,x+1/2,-z'
'x+1/2,-y,-z'
'-x+1/2,y,z'
'-y,-x,-z'
'y,x,z'
'-x,y+1/2,-z'
'x,-y+1/2,z'
'y+1/2,x+1/2,-z'
'-y+1/2,-x+1/2,z'
loop_
_atom_site_label
_atom_site_type_symbol
_atom_site_fract_x
_atom_site_fract_y
_atom_site_fract_z
Sr1 Sr 0.250 0.250 0.122
In1 In 0.250 0.750 0.500
As1 As 0.250 0.250 0.683
F1 F 0.250 0.750 0.000
```

Calculated values
The uncorrected formation energy comes out at -1.6550 eV per atom.


No. 6
A relaxed CaSnB crystal. Source: Alexandria via LeMat-Bulk, functional PBE.

CIF file:
```
data_CaSnB
_chemical_formula_sum 'Ca2 Sn2 B2'
_cell_length_a 3.973
_cell_length_b 5.688
_cell_length_c 7.161
_cell_angle_alpha 109.68
_cell_angle_beta 105.98
_cell_angle_gamma 90.06
_space_group_name_H-M_alt 'P -1'
_space_group_IT_number 2
loop_
_space_group_symop_operation_xyz
'x,y,z'
'-x,-y,-z'
loop_
_atom_site_label
_atom_site_type_symbol
_atom_site_fract_x
_atom_site_fract_y
_atom_site_fract_z
Ca1 Ca 0.108 0.285 0.217
Sn1 Sn 0.324 0.183 0.649
B1 B 0.460 0.063 0.920
```

Calculated values
For the energy above the most stable polymorph in this dataset, the calculation gives 0.045 eV/atom. As for the energy of formation: -121 meV/atom.


No. 7
A relaxed Sr3Te crystal. Source: Alexandria via LeMat-Bulk, functional PBE.

CIF file:
```
data_Sr3Te
_chemical_formula_sum 'Sr6 Te2'
_cell_length_a 7.6558
_cell_length_b 7.6558
_cell_length_c 6.5278
_cell_angle_alpha 90.00
_cell_angle_beta 90.00
_cell_angle_gamma 120.00
_space_group_name_H-M_alt 'P 63/m m c'
_space_group_IT_number 194
_space_group_name_Hall '-P 6c 2c'
loop_
_atom_site_label
_atom_site_type_symbol
_atom_site_fract_x
_atom_site_fract_y
_atom_site_fract_z
Sr1 Sr 0.1685 0.3370 0.2500
Te1 Te 0.3333 0.6667 0.7500
```

Calculated values
The uncorrected formation energy comes out at -0.4643 eV per atom. For the energy above the most stable polymorph in this dataset, the calculation gives 0.293 eV/atom.


No. 8
A relaxed SiMo2Pb crystal. Source: Alexandria via LeMat-Bulk, functional PBE.

CIF file:
```
data_SiMo2Pb
_chemical_formula_sum 'Si2 Mo4 Pb2'
_cell_length_a 4.016
_cell_length_b 4.016
_cell_length_c 8.548
_cell_angle_alpha 90.00
_cell_angle_beta 90.00
_cell_angle_gamma 90.00
_space_group_name_H-M_alt 'I -4 m 2'
_space_group_IT_number 119
_space_group_name_Hall 'I -4 -2'
loop_
_atom_site_label
_atom_site_type_symbol
_atom_site_fract_x
_atom_site_fract_y
_atom_site_fract_z
Si1 Si 0.000 0.000 0.000
Mo1 Mo 0.000 0.000 0.500
Mo2 Mo 0.000 0.500 0.750
Pb1 Pb 0.000 0.500 0.250
```

Calculated values
The uncorrected formation energy comes out at 0.6386 eV per atom. For the energy above the most stable polymorph in this dataset, the calculation gives 0.480 eV/atom.


No. 9
A relaxed OsCl crystal. Source: Alexandria via LeMat-Bulk, functional PBE.

CIF file:
```
data_OsCl
_chemical_formula_sum 'Os4 Cl4'
_cell_length_a 7.380
_cell_length_b 9.795
_cell_length_c 3.473
_cell_angle_alpha 90.00
_cell_angle_beta 90.00
_cell_angle_gamma 90.00
_space_group_name_H-M_alt 'C m c m'
_space_group_IT_number 63
_space_group_name_Hall '-C 2c 2'
loop_
_atom_site_label
_atom_site_type_symbol
_atom_site_fract_x
_atom_site_fract_y
_atom_site_fract_z
Os1 Os 0.000 0.078 0.250
Cl1 Cl 0.000 0.305 0.250
```

Calculated values
The uncorrected formation energy comes out at 0.8258 eV per atom. For the energy above the most stable polymorph in this dataset, the calculation gives 0.702 eV/atom.


No. 10
A relaxed Tb3MgGa12 crystal. Source: Alexandria via LeMat-Bulk, functional PBE.

CIF file:
```
data_Tb3MgGa12
_chemical_formula_sum 'Tb3 Mg1 Ga12'
_cell_length_a 4.274
_cell_length_b 4.274
_cell_length_c 17.013
_cell_angle_alpha 90.00
_cell_angle_beta 90.00
_cell_angle_gamma 90.00
_space_group_name_H-M_alt 'P 4/m m m'
_space_group_IT_number 123
_space_group_name_Hall '-P 4 2'
loop_
_atom_site_label
_atom_site_type_symbol
_atom_site_fract_x
_atom_site_fract_y
_atom_site_fract_z
Tb1 Tb 0.000 0.000 0.000
Tb2 Tb 0.000 0.000 0.255
Mg1 Mg 0.000 0.000 0.500
Ga1 Ga 0.000 0.500 0.128
Ga2 Ga 0.000 0.500 0.384
Ga3 Ga 0.500 0.500 0.000
Ga4 Ga 0.500 0.500 0.245
Ga5 Ga 0.500 0.500 0.500
```

Calculated values
As for the energy of formation: -420 meV/atom.


No. 11
A relaxed ReTc2P crystal. Source: Alexandria via LeMat-Bulk, functional PBE.

CIF file:
```
data_ReTc2P
_chemical_formula_sum 'Re2 Tc4 P2'
_cell_length_a 3.700
_cell_length_b 3.700
_cell_length_c 8.173
_cell_angle_alpha 90.00
_cell_angle_beta 90.00
_cell_angle_gamma 90.00
_space_group_name_H-M_alt 'I -4 m 2'
_space_group_IT_number 119
_space_group_name_Hall 'I -4 -2'
loop_
_atom_site_label
_atom_site_type_symbol
_atom_site_fract_x
_atom_site_fract_y
_atom_site_fract_z
Re1 Re 0.000 0.000 0.000
Tc1 Tc 0.000 0.000 0.500
Tc2 Tc 0.000 0.500 0.750
P1 P 0.000 0.500 0.250
```

Calculated values
As for the energy of formation: 184 meV/atom.


No. 12
A relaxed Ti2Ni2Ge crystal. Source: Alexandria via LeMat-Bulk, functional PBE.

CIF file:
```
data_Ti2Ni2Ge
_chemical_formula_sum 'Ti4 Ni4 Ge2'
_cell_length_a 7.066
_cell_length_b 7.066
_cell_length_c 2.955
_cell_angle_alpha 90.00
_cell_angle_beta 90.00
_cell_angle_gamma 90.00
_space_group_name_H-M_alt 'P 4/m b m'
_space_group_IT_number 127
_space_group_name_Hall '-P 4 2ab'
loop_
_atom_site_label
_atom_site_type_symbol
_atom_site_fract_x
_atom_site_fract_y
_atom_site_fract_z
Ti1 Ti 0.164 0.336 0.000
Ni1 Ni 0.128 0.628 0.500
Ge1 Ge 0.000 0.000 0.000
```

Calculated values
For the energy above the most stable polymorph in this dataset, the calculation gives 0.277 eV/atom. As for the energy of formation: -201 meV/atom.


Number 1: DOS(E_F) 6.10 states/eV/cell, spin magnetization 0.00 μB per formula unit. Number 2: DOS(E_F) 4.07 states/eV/cell, spin magnetization 3.32 μB per formula unit. Number 3: DOS(E_F) 5.82 states/eV/cell, spin magnetization 2.99 μB per formula unit. Number 4: DOS(E_F) 2.85 states/eV/cell, spin magnetization 0.00 μB per formula unit. Number 5: DOS(E_F) 2.40 states/eV/cell, spin magnetization 0.00 μB per formula unit. Number 6: DOS(E_F) 1.70 states/eV/cell, spin magnetization 0.00 μB per formula unit. Number 7: DOS(E_F) 8.28 states/eV/cell, spin magnetization 0.00 μB per formula unit. Number 8: DOS(E_F) 9.49 states/eV/cell, spin magnetization 0.01 μB per formula unit. Number 9: DOS(E_F) 6.05 states/eV/cell, spin magnetization 0.29 μB per formula unit. Number 10: DOS(E_F) 5.67 states/eV/cell, spin magnetization 0.00 μB per formula unit. Number 11: DOS(E_F) 8.62 states/eV/cell, spin magnetization 0.00 μB per formula unit. Number 12: DOS(E_F) 8.85 states/eV/cell, spin magnetization 0.00 μB per formula unit.